(1)
# AlTeRu

AlTeRu after structural relaxation (PBE-GGA, Alexandria).

```
AlTeRu
1.0
5.2128 -0.0366 -0.0085
2.9785 4.2783 0.0085
-4.0923 -2.1274 2.4295
Te Ru Al
1 1 1
Cartesian
5.4329 2.8133 0.0000
2.9781 1.5421 0.0000
7.9717 4.1280 0.0000
```

Properties
V (Å³/atom): 18.1
Energy relative to the lowest polymorph listed for this composition (meV per atom): 255
VASP energy (eV per atom): -5.294
Total magnetization (μB per formula unit): 0.000
ΔE_f (raw) (meV/atom): 93
ρ (g/cm³): 7.8

---

(2)
# AlTe2Ru

AlTe2Ru after structural relaxation (PBE-GGA, Alexandria).

```
AlTe2Ru
1.0
6.6486 0.0043 0.0062
4.2123 5.1439 -0.0062
-4.9388 -3.6114 2.6020
Al Ru Te
1 1 2
Cartesian
4.6023 2.1816 0.0000
2.2937 2.0257 1.2979
0.6312 0.2992 0.0000
3.8254 -0.3955 1.3041
```

Properties
V (Å³/atom): 22.2
VASP energy (eV per atom): -4.692
Total magnetization (μB per formula unit): 0.000
ΔE_f (raw) (meV/atom): 133
ρ (g/cm³): 7.2

---

(3)
# AlTeRu2

AlTeRu2 after structural relaxation (PBE-GGA, Alexandria).

```
AlTeRu2
1.0
4.4470 0.0132 -0.0071
3.3827 2.8868 -0.0071
1.0031 0.3715 5.0431
Ru Al Te
2 1 1
Cartesian
4.4544 1.6499 2.4777
7.7917 2.8860 0.0226
2.2082 0.8179 1.2572
6.6246 2.4537 3.7717
```

Properties
V (Å³/atom): 16.1
Energy relative to the lowest polymorph listed for this composition (meV per atom): 143
VASP energy (eV per atom): -6.358
Total magnetization (μB per formula unit): 0.000
ΔE_f (raw) (meV/atom): 1
ρ (g/cm³): 9.2

---

(4)
# Al2TeRu

Al2TeRu after structural relaxation (PBE-GGA, Alexandria).

```
Al2TeRu
1.0
3.0333 -0.0025 0.0000
0.0030 3.0333 0.0000
0.0000 0.0000 8.4693
Te Al Ru
1 2 1
Cartesian
1.5182 1.5154 6.3520
0.0000 0.0000 3.5201
0.0000 0.0000 0.7145
1.5182 1.5154 2.1173
```

Properties
V (Å³/atom): 19.5
VASP energy (eV per atom): -5.173
Total magnetization (μB per formula unit): 0.000
ΔE_f (raw) (meV/atom): -197
ρ (g/cm³): 6.0

---

(5)
# AlTeRu3

AlTeRu3 after structural relaxation (PBE-GGA, Alexandria).

```
AlTeRu3
1.0
-4.3271 -1.9330 -0.3471
1.9549 -4.3198 -0.3140
-0.1878 -0.4287 4.7288
Al Ru Te
1 3 1
Cartesian
-1.2800 -3.3407 2.0339
-2.1635 -0.9665 -0.1735
-0.0939 -0.2143 2.3644
0.9775 -2.1599 -0.1570
0.0000 0.0000 0.0000
```

Properties
V (Å³/atom): 21.5
Energy relative to the lowest polymorph listed for this composition (meV per atom): 421
VASP energy (eV per atom): -5.553
Total magnetization (μB per formula unit): 0.001
ΔE_f (raw) (meV/atom): 1390
ρ (g/cm³): 7.1

---

(6)
# Al2TeRu

Al2TeRu after structural relaxation (PBE-GGA, Alexandria).

```
Al2TeRu
1.0
-0.3724 -1.7493 4.7040
2.9140 -4.0603 0.5902
0.9163 4.5908 -1.8470
Te Ru Al
1 1 2
Cartesian
0.9074 -0.0317 2.7520
2.5506 -1.1872 0.6951
1.2708 -2.9048 2.6471
0.0000 0.0000 0.0000
```

Properties
V (Å³/atom): 17.1
VASP energy (eV per atom): -4.861
Total magnetization (μB per formula unit): 0.000
ΔE_f (raw) (meV/atom): 115
ρ (g/cm³): 6.9

---

(7)
# AlTeRu2

AlTeRu2 after structural relaxation (PBE-GGA, Alexandria).

```
AlTeRu2
1.0
8.4645 -0.0116 -0.0068
7.8958 3.0504 -0.0068
7.8958 1.4666 2.6747
Al Te Ru
1 1 2
Cartesian
17.9176 3.3281 1.9657
12.2913 2.2830 1.3484
0.0781 0.0145 0.0086
6.0971 1.1325 0.6689
```

Properties
V (Å³/atom): 17.4
Energy relative to the lowest polymorph listed for this composition (meV per atom): 429
VASP energy (eV per atom): -6.072
Total magnetization (μB per formula unit): 0.001
ΔE_f (raw) (meV/atom): 287
ρ (g/cm³): 8.5

---

(8)
# AlTe2Ru

AlTe2Ru after structural relaxation (PBE-GGA, Alexandria).

```
AlTe2Ru
1.0
6.0637 0.0000 0.0000
0.0000 6.0637 0.0000
3.0319 3.0319 6.1117
Al Te Ru
2 4 2
Cartesian
3.0319 6.0637 3.0559
3.0319 3.0319 0.0000
7.5796 7.7007 4.5838
1.3949 4.5478 1.5279
4.5478 4.4267 4.5838
4.6688 1.5159 1.5279
0.0000 0.0000 0.0000
6.0637 3.0319 3.0559
```

Properties
V (Å³/atom): 28.1
VASP energy (eV per atom): -4.724
Total magnetization (μB per formula unit): 0.000
ΔE_f (raw) (meV/atom): 101
ρ (g/cm³): 5.7

---

(9)
# AlTe2Ru

AlTe2Ru after structural relaxation (PBE-GGA, Alexandria).

```
AlTe2Ru
1.0
4.5040 -0.0187 0.0353
2.9407 3.4116 0.0353
1.3676 0.6233 6.4244
Te Ru Al
2 1 1
Cartesian
6.3798 2.9076 4.2271
7.4067 3.3756 0.7364
2.3504 1.0712 2.2566
4.5261 2.0628 2.5930
```

Properties
V (Å³/atom): 24.7
VASP energy (eV per atom): -4.975
Total magnetization (μB per formula unit): 0.000
ΔE_f (raw) (meV/atom): -150
ρ (g/cm³): 6.4

---

(10)
# AlTe4Ru

AlTe4Ru after structural relaxation (PBE-GGA, Alexandria).

```
AlTe4Ru
1.0
-0.5376 -6.2218 -0.6417
-5.5189 -2.7993 1.0567
-3.2760 -2.3899 -4.7925
Te Ru Al
4 1 1
Cartesian
-3.4943 -4.2725 -1.6390
-3.7644 -7.3978 -1.9613
-6.2665 -5.6786 -1.1082
-5.1399 -5.4730 -4.0463
0.0000 0.0000 0.0000
-6.9994 -8.5582 -3.2831
```

Properties
V (Å³/atom): 29.2
VASP energy (eV per atom): -3.197
Total magnetization (μB per formula unit): 3.077
ΔE_f (raw) (meV/atom): 1068
ρ (g/cm³): 6.1

---

(11)
# Al2TeRu

Al2TeRu after structural relaxation (PBE-GGA, Alexandria).

```
Al2TeRu
1.0
5.0739 0.0067 0.0007
1.5611 4.8277 -0.0007
-2.9371 -2.9393 2.9118
Al Ru Te
2 1 1
Cartesian
2.6627 -0.3046 1.4562
6.5571 4.7777 0.0000
3.4974 2.5484 0.0000
0.9330 2.1253 1.4555
```

Properties
V (Å³/atom): 17.8
VASP energy (eV per atom): -4.828
Total magnetization (μB per formula unit): 0.000
ΔE_f (raw) (meV/atom): 148
ρ (g/cm³): 6.6

---

(12)
# AlTeRu2

AlTeRu2 after structural relaxation (PBE-GGA, Alexandria).

```
AlTeRu2
1.0
-3.2415 1.1490 0.0578
-1.0975 -3.1401 0.8756
0.5608 1.3104 5.4025
Al Ru Te
1 2 1
Cartesian
-1.7199 0.0549 4.7974
0.5292 1.2366 5.0979
-2.0086 -0.6195 2.0169
0.2624 0.6131 2.5274
```

Properties
V (Å³/atom): 16.5
Energy relative to the lowest polymorph listed for this composition (meV per atom): 164
VASP energy (eV per atom): -6.337
Total magnetization (μB per formula unit): 0.122
ΔE_f (raw) (meV/atom): 22
ρ (g/cm³): 9.0